AcGa2Ni2Ge: relaxed, PBE.

Summary:
DFT formation energy in eV per atom: -0.306

a b c (Å): 4.452 4.452 5.987
angles (deg): 90.00 90.00 90.00
Element x y z (fractional)
Ac1 0.000 0.000 0.500
Ga1 0.500 0.500 0.761
Ga2 0.500 0.500 0.239
Ni1 0.500 0.000 0.000
Ni2 0.000 0.500 0.000
Ge1 0.000 0.000 0.000


Tl2H6IrPt: relaxed, PBE.

Summary:
VASP energy in eV/atom: -3.872

a b c (Å): 4.811 4.811 7.838
angles (deg): 118.58 118.58 89.34
Element x y z (fractional)
Tl1 0.723 0.219 0.636
Tl2 0.218 0.723 0.636
H1 0.799 0.800 0.055
H2 0.720 0.721 0.290
H3 0.281 0.281 0.051
H4 0.804 0.288 0.059
H5 0.185 0.186 0.237
H6 0.288 0.805 0.059
Ir1 0.972 0.972 0.965
Pt1 0.508 0.509 0.011


SrPr2Sc: relaxed, PBE.

Summary:
DFT formation energy in eV per atom: 0.228
Relative energy among the computed polymorphs in eV per atom: 0.137

a b c (Å): 3.640 3.640 13.019
angles (deg): 81.96 81.96 60.00
Element x y z (fractional)
Pr1 0.096 0.096 0.711
Pr2 0.904 0.904 0.289
Sr1 0.000 0.000 0.000
Sc1 0.500 0.500 0.500


YFe4Ru: relaxed, PBE.

Summary:
DFT formation energy in eV per atom: 0.039

a b c (Å): 4.981 4.981 4.981
angles (deg): 60.00 60.00 60.00
Element x y z (fractional)
Y1 0.000 0.000 0.000
Fe1 0.874 0.375 0.375
Fe2 0.375 0.375 0.874
Fe3 0.375 0.874 0.375
Fe4 0.375 0.375 0.375
Ru1 0.750 0.750 0.750


MnZn2Rh2: relaxed, PBE.

Summary:
DFT formation energy in eV per atom: -0.186
Relative energy among the computed polymorphs in eV per atom: 0.050

a b c (Å): 6.905 6.905 3.060
angles (deg): 90.00 90.00 90.00
Element x y z (fractional)
Zn1 0.371 0.871 0.000
Zn2 0.871 0.629 0.000
Zn3 0.629 0.129 0.000
Zn4 0.129 0.371 0.000
Mn1 0.000 0.000 0.000
Mn2 0.500 0.500 0.000
Rh1 0.170 0.670 0.500
Rh2 0.670 0.830 0.500
Rh3 0.830 0.330 0.500
Rh4 0.330 0.170 0.500


CsVZn2Bi: relaxed, PBE.

Summary:
DFT formation energy in eV per atom: 0.907

a b c (Å): 5.272 6.033 5.272
angles (deg): 90.00 90.00 90.00
Element x y z (fractional)
Cs1 0.000 0.500 0.000
Zn1 0.000 0.000 0.500
Zn2 0.500 0.000 0.000
Bi1 0.500 0.500 0.500
V1 0.000 0.000 0.000


SnPdSN2: relaxed, PBE.

Summary:
Relative energy among the computed polymorphs in eV per atom: 0.232
Formation energy (no corrections) in kcal/mol of atoms: 32.10

a b c (Å): 4.068 4.068 5.310
angles (deg): 90.00 90.00 90.00
Element x y z (fractional)
S1 0.000 0.000 0.500
Sn1 0.000 0.000 0.000
Pd1 0.500 0.500 0.500
N1 0.000 0.500 0.000
N2 0.500 0.000 0.000


ScHg2: relaxed, PBE.

Summary:
DFT formation energy in eV per atom: -0.206

a b c (Å): 13.100 13.100 13.100
angles (deg): 165.54 165.54 20.50
Element x y z (fractional)
Sc1 0.750 0.250 0.500
Sc2 0.000 0.000 0.000
Hg1 0.576 0.576 0.000
Hg2 0.424 0.424 0.000
Hg3 0.326 0.826 0.500
Hg4 0.174 0.674 0.500


Th3ZnNi4: relaxed, PBE.

Summary:
DFT formation energy in eV per atom: -0.334

a b c (Å): 3.886 6.140 7.833
angles (deg): 113.14 104.36 90.00
Element x y z (fractional)
Th1 0.000 0.500 0.000
Th2 0.192 0.192 0.384
Th3 0.808 0.808 0.616
Zn1 0.500 0.000 0.000
Ni1 0.379 0.581 0.758
Ni2 0.621 0.419 0.242
Ni3 0.621 0.823 0.242
Ni4 0.379 0.177 0.758


SrGa2ReS: relaxed, PBE.

Summary:
Formation energy (no corrections) in kcal/mol of atoms: 8.91

a b c (Å): 5.257 4.396 5.257
angles (deg): 90.00 90.00 90.00
Element x y z (fractional)
Re1 0.000 0.500 0.000
S1 0.000 0.000 0.000
Ga1 0.000 0.000 0.500
Ga2 0.500 0.000 0.000
Sr1 0.500 0.500 0.500


Np2ZnF11: relaxed, PBE.

Summary:
Formation energy (no corrections) in kcal/mol of atoms: -71.12

a b c (Å): 8.717 8.501 8.501
angles (deg): 70.85 59.16 59.16
Element x y z (fractional)
Np1 0.633 0.697 0.303
Np2 0.367 0.303 0.697
Np3 0.867 0.197 0.803
Np4 0.133 0.803 0.197
Zn1 0.750 0.750 0.750
Zn2 0.250 0.250 0.250
F1 0.592 0.732 0.553
F2 0.408 0.268 0.447
F3 0.123 0.553 0.732
F4 0.908 0.947 0.768
F5 0.877 0.447 0.268
F6 0.092 0.053 0.232
F7 0.377 0.768 0.947
F8 0.623 0.232 0.053
F9 0.500 0.500 0.500
F10 0.000 0.000 0.000
F11 0.857 0.788 0.212
F12 0.143 0.212 0.788
F13 0.643 0.288 0.712
F14 0.357 0.712 0.288
F15 0.436 0.990 0.283
F16 0.564 0.010 0.717
F17 0.291 0.283 0.990
F18 0.064 0.217 0.510
F19 0.709 0.717 0.010
F20 0.936 0.783 0.490
F21 0.209 0.510 0.217
F22 0.791 0.490 0.783


TmAl2GaNi2: relaxed, PBE.

Summary:
DFT formation energy in eV per atom: -0.282

a b c (Å): 4.354 4.354 5.497
angles (deg): 90.00 90.00 90.00
Element x y z (fractional)
Tm1 0.000 0.000 0.500
Al1 0.500 0.500 0.747
Al2 0.500 0.500 0.253
Ga1 0.000 0.000 0.000
Ni1 0.500 0.000 0.000
Ni2 0.000 0.500 0.000


CeUIrRu: relaxed, PBE.

Summary:
DFT formation energy in eV per atom: -0.339

a b c (Å): 4.852 4.852 4.852
angles (deg): 60.00 60.00 60.00
Element x y z (fractional)
Ru1 0.250 0.250 0.250
Ir1 0.750 0.750 0.750
U1 0.000 0.000 0.000
Ce1 0.500 0.500 0.500


Cu3Ge: relaxed, PBE.

Summary:
DFT formation energy in eV per atom: 0.035

a b c (Å): 2.825 4.456 4.913
angles (deg): 116.96 106.71 90.00
Element x y z (fractional)
Ge1 0.000 0.991 0.000
Cu1 0.247 0.585 0.495
Cu2 0.500 0.499 0.000
Cu3 0.753 0.091 0.505


CrAsIrBr2: relaxed, PBE.

Summary:
Relative energy among the computed polymorphs in eV per atom: 0.607
Formation energy (no corrections) in kcal/mol of atoms: 27.81

a b c (Å): 4.621 4.621 4.931
angles (deg): 90.00 90.00 90.00
Element x y z (fractional)
Cr1 0.000 0.000 0.000
As1 0.000 0.000 0.500
Ir1 0.500 0.500 0.500
Br1 0.000 0.500 0.000
Br2 0.500 0.000 0.000


PuTlRh2: relaxed, PBE.

Summary:
DFT formation energy in eV per atom: -0.259

a b c (Å): 3.660 4.564 4.564
angles (deg): 90.00 90.00 90.00
Element x y z (fractional)
Tl1 0.500 0.000 0.000
Rh1 0.000 0.000 0.500
Rh2 0.000 0.500 0.000
Pu1 0.500 0.500 0.500


AcNd3Th2N6: relaxed, PBE.

Summary:
Formation energy (no corrections) in kcal/mol of atoms: -32.53

a b c (Å): 3.701 7.405 8.263
angles (deg): 102.50 102.94 90.00
Element x y z (fractional)
Ac1 0.500 0.000 0.000
Nd1 0.500 0.500 0.000
Nd2 0.832 0.165 0.663
Nd3 0.168 0.835 0.337
Th1 0.833 0.665 0.666
Th2 0.167 0.335 0.334
N1 0.328 0.900 0.655
N2 0.671 0.576 0.341
N3 0.672 0.100 0.345
N4 0.010 0.267 0.019
N5 0.990 0.733 0.981
N6 0.329 0.424 0.659


GeBOF2: relaxed, PBE.

Summary:
Relative energy among the computed polymorphs in eV per atom: 0.000
Formation energy (no corrections) in kcal/mol of atoms: -28.99

a b c (Å): 4.560 4.560 2.645
angles (deg): 90.00 90.00 90.00
Element x y z (fractional)
Ge1 0.500 0.500 0.500
B1 0.000 0.000 0.000
O1 0.000 0.000 0.500
F1 0.000 0.500 0.000
F2 0.500 0.000 0.000


NiW2Au: relaxed, PBE.

Summary:
DFT formation energy in eV per atom: 0.783
Relative energy among the computed polymorphs in eV per atom: 0.615

a b c (Å): 7.113 7.113 5.651
angles (deg): 50.99 50.99 90.00
Element x y z (fractional)
Ni1 0.500 0.500 0.000
Ni2 0.250 0.750 0.500
Au1 0.000 0.000 0.000
Au2 0.750 0.250 0.500
W1 0.587 0.125 0.250
W2 0.163 0.625 0.250
W3 0.375 0.413 0.750
W4 0.875 0.837 0.750


SrAg6Hg2: relaxed, PBE.

Summary:
DFT formation energy in eV per atom: 0.033

a b c (Å): 3.727 8.325 8.325
angles (deg): 56.20 77.16 77.16
Element x y z (fractional)
Sr1 0.000 0.000 0.000
Ag1 0.320 0.996 0.362
Ag2 0.680 0.004 0.638
Ag3 0.680 0.638 0.004
Ag4 0.500 0.327 0.673
Ag5 0.500 0.673 0.327
Ag6 0.320 0.362 0.996
Hg1 0.141 0.358 0.358
Hg2 0.859 0.642 0.642


Ag2PW: relaxed, PBE.

Summary:
DFT formation energy in eV per atom: 0.147

a b c (Å): 2.994 2.994 8.920
angles (deg): 90.00 90.00 120.00
Element x y z (fractional)
Ag1 0.000 0.000 0.115
Ag2 0.667 0.333 0.850
P1 0.000 0.000 0.395
W1 0.333 0.667 0.581


Nd4TmCd2: relaxed, PBE.

Summary:
DFT formation energy in eV per atom: -0.110

a b c (Å): 8.406 9.297 8.949
angles (deg): 137.75 113.41 76.46
Element x y z (fractional)
Nd1 0.714 0.020 0.999
Nd2 0.305 0.791 0.462
Nd3 0.061 0.672 0.830
Nd4 0.870 0.945 0.637
Nd5 0.136 0.143 0.412
Nd6 0.535 0.360 0.925
Nd7 0.431 0.560 0.673
Nd8 0.837 0.708 0.108
Tm1 0.998 0.425 0.259
Tm2 0.322 0.114 0.061
Cd1 0.761 0.248 0.538
Cd2 0.481 0.914 0.269
Cd3 0.671 0.520 0.437
Cd4 0.127 0.332 0.890


NaCuI3: relaxed, PBE.

Summary:
Relative energy among the computed polymorphs in eV per atom: 0.766
Formation energy (no corrections) in kcal/mol of atoms: 6.41

a b c (Å): 5.893 5.893 5.893
angles (deg): 90.00 90.00 90.00
Element x y z (fractional)
I1 0.000 0.500 0.000
I2 0.000 0.000 0.500
I3 0.500 0.000 0.000
Na1 0.000 0.000 0.000
Cu1 0.500 0.500 0.500


LiBe2Hg2: relaxed, PBE.

Summary:
DFT formation energy in eV per atom: 0.167

a b c (Å): 7.203 7.203 2.936
angles (deg): 90.00 90.00 90.00
Element x y z (fractional)
Be1 0.390 0.890 0.000
Be2 0.890 0.610 0.000
Be3 0.610 0.110 0.000
Be4 0.110 0.390 0.000
Hg1 0.190 0.690 0.500
Hg2 0.690 0.810 0.500
Hg3 0.810 0.310 0.500
Hg4 0.310 0.190 0.500
Li1 0.000 0.000 0.000
Li2 0.500 0.500 0.000


Sc2Zn3Ga: relaxed, PBE.

Summary:
DFT formation energy in eV per atom: -0.442

a b c (Å): 5.413 5.413 8.194
angles (deg): 103.60 103.60 106.75
Element x y z (fractional)
Sc1 0.250 0.750 0.500
Sc2 0.752 0.752 0.000
Sc3 0.750 0.250 0.500
Sc4 0.248 0.248 0.000
Zn1 0.668 0.167 0.834
Zn2 0.833 0.332 0.166
Zn3 0.332 0.833 0.166
Zn4 0.167 0.668 0.834
Zn5 0.834 0.834 0.668
Zn6 0.166 0.166 0.332
Ga1 0.334 0.334 0.668
Ga2 0.666 0.666 0.332


| no. | total magnetic moment (μB per cell) |
| --- | --- |
| 1 | 0.00 |
| 2 | 0.00 |
| 3 | 0.00 |
| 4 | 10.78 |
| 5 | 9.05 |
| 6 | 2.76 |
| 7 | 3.07 |
| 8 | 0.93 |
| 9 | 0.00 |
| 10 | 1.06 |
| 11 | 10.00 |
| 12 | 0.00 |
| 13 | 2.37 |
| 14 | 0.00 |
| 15 | 0.00 |
| 16 | 4.88 |
| 17 | 0.00 |
| 18 | 0.00 |
| 19 | 0.00 |
| 20 | 0.00 |
| 21 | 0.00 |
| 22 | 0.00 |
| 23 | 0.00 |
| 24 | 0.00 |
| 25 | 0.29 |